1.
4
Lattice="-2.810 -4.124 0.523 1.065 -3.321 3.607 -3.051 -0.473 3.956" Properties=species:S:1:pos:R:3 comment="ErPuPtAu PBE-GGA optimized geometry" crystal_system=cubic ef_ev_per_atom=-0.771 e_above_lowest_polymorph_ev_per_atom=0.0515 pbc="T T T"
Au -3.597 -5.939 6.064
Er 0.000 0.000 0.000
Pu -2.398 -3.959 4.043
Pt -1.199 -1.980 2.021

---

2.
5
Lattice="4.262 0.000 0.000 0.000 4.262 0.000 0.000 0.000 4.610" Properties=species:S:1:pos:R:3 comment="HfTi2PbC PBE-GGA optimized geometry" crystal_system=tetragonal ef_ev_per_atom=-0.378 pbc="T T T"
Pb 2.131 2.131 2.305
Hf 0.000 0.000 2.305
Ti 2.131 0.000 0.000
Ti 0.000 2.131 0.000
C 0.000 0.000 0.000

---

3.
8
Lattice="-3.539 -0.336 -2.239 2.406 -7.251 -2.716 -2.477 -5.003 4.668" Properties=species:S:1:pos:R:3 comment="TbSmIn2Se4 PBE-GGA optimized geometry" crystal_system=monoclinic formation_energy_uncorrected_ev_per_fu=-10.40 pbc="T T T"
Se -3.444 -3.631 -1.895
Se -2.887 -5.937 1.513
Se -0.166 -8.960 1.608
Se -0.723 -6.654 -1.800
In -2.477 -5.003 4.668
In -3.008 -2.670 1.214
Tb -0.035 -6.127 0.976
Sm -0.567 -3.794 -2.477

---

4.
8
Lattice="-0.122 -0.222 4.388 -3.926 -1.965 -0.208 -0.052 -5.018 1.946" Properties=species:S:1:pos:R:3 comment="MnCrC2 PBE-GGA optimized geometry" crystal_system=tetragonal ef_ev_per_atom=0.418 pbc="T T T"
Mn 0.000 0.000 0.000
Mn -1.099 -3.167 4.212
Cr -2.024 -1.093 2.090
Cr -3.001 -4.038 1.914
C -2.482 -2.509 0.887
C -3.597 -5.685 5.116
C -0.580 -1.640 3.221
C -1.541 -4.576 3.028

---

5.
4
Lattice="-3.140 1.679 4.311 -5.056 -2.243 0.817 -0.870 -3.431 4.329" Properties=species:S:1:pos:R:3 comment="NaAcErHg PBE-GGA optimized geometry" crystal_system=cubic ef_ev_per_atom=-0.026 pbc="T T T"
Na -4.533 -1.998 4.729
Ac -6.800 -2.996 7.093
Hg 0.000 0.000 0.000
Er -2.267 -0.999 2.364

---

6.
5
Lattice="-0.406 -0.934 -4.454 -3.145 -2.493 0.809 -2.897 3.502 -0.470" Properties=species:S:1:pos:R:3 comment="CaMnRe2Tc PBE-GGA optimized geometry" crystal_system=tetragonal ef_ev_per_atom=3.021 pbc="T T T"
Mn -1.572 -1.246 0.405
Re -0.203 -0.467 -2.227
Re -1.448 1.751 -0.235
Ca 0.000 0.000 0.000
Tc -3.224 0.038 -2.057

---

7.
20
Lattice="8.313 1.161 1.742 -1.196 8.308 1.742 -1.196 -1.592 8.338" Properties=species:S:1:pos:R:3 comment="Ho7Er12Pb PBE-GGA optimized geometry" crystal_system=trigonal ef_ev_per_atom=0.161 pbc="T T T"
Er 3.257 5.474 3.127
Er -0.159 3.345 6.256
Er 6.079 4.532 5.566
Er 0.221 5.082 8.963
Er 4.820 7.646 4.952
Er 5.699 2.795 2.859
Er -0.084 5.909 3.681
Er 6.004 1.968 8.142
Er 1.100 0.231 6.871
Er 1.567 6.783 6.326
Er 2.663 2.402 8.696
Er 4.353 1.094 5.496
Pb 0.000 0.000 0.000
Ho 2.977 0.777 2.020
Ho 5.244 4.582 10.328
Ho 2.943 7.100 9.803
Ho 2.960 3.938 5.911
Ho 0.676 3.294 1.495
Ho -0.081 0.680 3.616
Ho 6.001 7.197 8.207

---

8.
4
Lattice="4.470 0.000 0.000 2.235 3.871 0.000 2.235 1.290 3.650" Properties=species:S:1:pos:R:3 comment="ZrCu2Pt PBE-GGA optimized geometry" crystal_system=cubic ef_ev_per_atom=-0.410 pbc="T T T"
Cu 6.705 3.871 2.737
Cu 0.000 0.000 0.000
Pt 4.470 2.581 1.825
Zr 2.235 1.290 0.912

---

9.
4
Lattice="3.203 0.000 0.000 0.000 5.791 0.000 0.000 0.000 4.304" Properties=species:S:1:pos:R:3 comment="MnAsCl2 PBE-GGA optimized geometry" crystal_system=orthorhombic e_above_lowest_polymorph_ev_per_atom=0.4444 formation_energy_uncorrected_ev_per_fu=0.10 pbc="T T T"
As 0.000 2.896 2.152
Mn 1.602 0.000 2.152
Cl 1.602 2.896 0.000
Cl 0.000 0.000 0.000

---

10.
18
Lattice="-0.475 -6.938 -3.857 -0.675 -6.786 4.091 -6.852 -4.035 -0.095" Properties=species:S:1:pos:R:3 comment="CeZn2Pt6 PBE-GGA optimized geometry" crystal_system=cubic ef_ev_per_atom=-0.381 pbc="T T T"
Pt -5.360 -6.569 -0.009
Pt -4.321 -12.393 -1.768
Pt -7.588 -14.317 -1.813
Pt -7.683 -14.244 1.976
Pt -4.416 -12.320 2.022
Pt -2.320 -7.953 -1.803
Pt -5.587 -9.877 -1.848
Pt -2.415 -7.881 1.987
Pt -4.643 -15.629 0.183
Pt -2.642 -11.189 0.148
Pt -7.361 -11.009 0.026
Pt -5.682 -9.805 1.942
Zn -1.238 -5.689 -1.911
Zn -1.000 -2.220 0.017
Zn -1.338 -5.613 2.063
Zn -4.426 -4.237 -0.030
Ce -6.002 -13.319 0.104
Ce -4.001 -8.879 0.069

---

11.
6
Lattice="-0.577 4.371 -3.308 -3.547 4.006 1.321 1.880 4.930 1.595" Properties=species:S:1:pos:R:3 comment="Li4YSn PBE-GGA optimized geometry" crystal_system=cubic ef_ev_per_atom=-0.159 pbc="T T T"
Li -2.348 5.849 -1.046
Li 0.378 6.312 -0.908
Li -1.114 6.129 1.416
Li -1.404 8.324 -0.245
Y -0.561 3.327 -0.098
Sn 0.000 0.000 0.000

---

12.
19
Lattice="-0.362 -3.849 -6.119 5.695 -3.034 3.280 -5.502 -2.788 3.788" Properties=species:S:1:pos:R:3 comment="Li6InAg12 PBE-GGA optimized geometry" crystal_system=trigonal ef_ev_per_atom=-0.084 pbc="T T T"
Ag 1.543 -6.101 4.462
Ag 2.134 -4.598 -0.975
Ag -2.558 -2.853 3.652
Ag -0.214 -5.503 -2.098
Ag 2.389 -6.818 -2.704
Ag 0.045 -4.168 3.046
Ag 4.101 -3.248 0.809
Ag -2.303 -5.073 1.922
Ag -4.270 -6.423 0.139
Ag 2.242 -5.172 1.719
Ag -1.712 -3.570 -3.514
Ag -2.411 -4.499 -0.771
Li -1.500 -2.325 1.163
Li -0.050 -7.063 2.428
Li -0.119 -2.608 -1.481
Li 1.492 -2.390 1.036
Li -1.661 -7.281 -0.088
Li 1.331 -7.346 -0.215
In 0.000 0.000 0.000

---

13.
20
Lattice="-1.473 -3.873 5.997 4.139 -6.259 -3.025 5.123 4.611 4.236" Properties=species:S:1:pos:R:3 comment="PaTi6Bi3 PBE-GGA optimized geometry" crystal_system=orthorhombic ef_ev_per_atom=0.089 pbc="T T T"
Ti 4.760 2.735 4.459
Ti 6.480 0.215 4.274
Ti 5.288 -6.749 3.914
Ti 5.922 -2.726 1.117
Ti 4.027 -0.353 5.861
Ti 2.392 0.942 3.739
Ti 1.200 -6.022 3.379
Ti 2.688 -2.150 0.694
Ti 5.365 -2.676 5.441
Ti 2.131 -2.101 5.018
Ti 3.259 -7.650 1.814
Ti 4.275 -3.817 -0.744
Bi 1.708 0.529 0.840
Bi 6.792 -4.181 3.477
Bi 0.817 -3.119 2.695
Bi 3.322 -4.797 5.211
Bi 7.683 -0.534 1.621
Bi 4.185 -1.464 3.146
Pa 3.378 -2.523 7.875
Pa 3.736 -4.772 2.081

---

14.
12
Lattice="5.239 0.000 0.002 0.000 4.086 0.000 -4.176 0.000 8.847" Properties=species:S:1:pos:R:3 comment="CaHRu PBE-GGA optimized geometry" crystal_system=monoclinic e_above_lowest_polymorph_ev_per_atom=0.0439 pbc="T T T"
Ca 3.399 0.000 3.537
Ca 0.664 0.000 1.766
Ca -1.423 2.043 6.189
Ca 1.312 2.043 7.960
H -0.169 2.043 3.069
H 0.079 0.000 7.113
H 2.167 2.043 2.690
H -2.257 0.000 7.493
Ru -1.010 0.000 8.647
Ru 1.078 2.043 4.223
Ru 0.779 0.000 5.375
Ru 2.867 2.043 0.951

---

15.
18
Lattice="-5.329 2.088 -4.160 -0.879 -6.630 -2.201 -4.507 2.075 6.814" Properties=species:S:1:pos:R:3 comment="Sc5Hg2Ir2 PBE-GGA optimized geometry" crystal_system=orthorhombic ef_ev_per_atom=-0.651 pbc="T T T"
Sc -4.506 0.589 3.989
Sc -2.412 -2.090 -0.038
Sc -4.946 -0.065 -1.793
Sc -5.769 -2.403 2.245
Sc -3.675 -5.083 -1.782
Sc -7.040 2.615 2.235
Sc 0.000 0.000 0.000
Sc -8.304 -0.378 0.491
Sc -6.209 -3.057 -3.536
Sc -3.104 -2.271 -3.181
Hg -5.258 -2.811 -0.693
Hg -5.458 0.343 1.146
Hg -2.154 -0.540 2.487
Hg -3.233 -4.016 2.126
Ir -1.277 -3.916 -1.956
Ir -2.062 -0.121 -1.811
Ir -4.931 -0.626 -4.406
Ir -4.146 -4.421 -4.550

---

16.
18
Lattice="6.339 0.000 0.000 0.000 6.339 0.000 -3.170 -3.170 5.674" Properties=species:S:1:pos:R:3 comment="Ca2PmCuO5 PBE-GGA optimized geometry" crystal_system=tetragonal formation_energy_uncorrected_ev_per_fu=-19.88 pbc="T T T"
Cu 0.000 3.170 2.837
Cu 3.170 0.000 2.837
Ca 4.229 1.059 0.000
Ca 2.111 5.280 0.000
Ca 1.059 2.111 0.000
Ca 5.280 4.229 0.000
O 3.170 3.170 0.000
O 2.172 -0.998 4.055
O 5.341 2.172 1.618
O 0.998 2.172 4.055
O 4.167 5.341 1.618
O 0.998 4.167 1.618
O -0.998 -2.172 4.055
O -2.172 0.998 4.055
O 2.172 0.998 1.618
O 0.000 0.000 0.000
Pm 3.170 3.170 2.837
Pm 0.000 0.000 2.837

---

17.
4
Lattice="-2.995 -0.179 3.198 -1.872 -3.827 1.039 0.969 -1.953 3.805" Properties=species:S:1:pos:R:3 comment="Li2CuAg PBE-GGA optimized geometry" crystal_system=cubic ef_ev_per_atom=-0.097 pbc="T T T"
Ag -1.949 -2.980 4.021
Li -0.974 -1.490 2.010
Li 0.000 0.000 0.000
Cu -2.923 -4.470 6.031

---

18.
4
Lattice="5.113 -0.002 -0.022 4.331 2.718 -0.022 0.344 0.099 4.739" Properties=species:S:1:pos:R:3 comment="Al2WCl PBE-GGA optimized geometry" crystal_system=monoclinic e_above_lowest_polymorph_ev_per_atom=0.5591 formation_energy_uncorrected_ev_per_fu=1.71 pbc="T T T"
W 7.340 2.111 3.521
Al 0.538 0.155 4.683
Al 4.699 1.351 2.403
Cl 2.447 0.704 1.174

---

19.
5
Lattice="-5.115 2.627 0.567 -0.289 -1.750 5.499 2.575 4.664 1.620" Properties=species:S:1:pos:R:3 comment="CaAc2TlIr PBE-GGA optimized geometry" crystal_system=tetragonal ef_ev_per_atom=-0.374 pbc="T T T"
Ca 0.998 0.582 6.308
Ac -2.847 -0.436 5.782
Ac 2.430 3.790 4.369
Ir 2.575 4.664 1.620
Tl -1.414 2.772 3.843

---

20.
18
Lattice="-10.895 -1.377 0.938 -9.224 -1.937 -5.714 -8.187 -7.236 -1.448" Properties=species:S:1:pos:R:3 comment="La2NpGa3Au12 PBE-GGA optimized geometry" crystal_system=trigonal ef_ev_per_atom=-0.242 pbc="T T T"
Au -13.402 -3.279 -3.091
Au -8.442 -1.986 -0.415
Au -20.585 -8.322 -2.932
Au -12.291 -5.682 -4.069
Au -21.034 -6.030 -4.777
Au -14.903 -7.271 -3.132
Au -7.271 -4.520 -1.446
Au -16.014 -4.868 -2.154
Au -7.719 -2.228 -3.291
Au -12.976 -5.452 -1.341
Au -15.328 -5.098 -4.882
Au -19.863 -8.564 -5.809
Ga -4.093 -3.618 -0.724
Ga -5.447 -0.689 0.469
Ga -4.612 -0.969 -2.857
La -18.054 -6.730 -3.970
La -10.250 -3.821 -2.254
Np 0.000 0.000 0.000

---

Number 1: mass density 14.9 g/cm3, uncorrected energy -7.824 eV per atom. Number 2: mass density 9.8 g/cm3, uncorrected energy -8.113 eV per atom. Number 3: mass density 6.0 g/cm3, uncorrected energy -4.895 eV per atom. Number 4: mass density 5.1 g/cm3, uncorrected energy -8.892 eV per atom. Number 5: mass density 8.3 g/cm3, uncorrected energy -2.599 eV per atom. Number 6: mass density 11.0 g/cm3, uncorrected energy -6.266 eV per atom. Number 7: mass density 8.9 g/cm3, uncorrected energy -4.364 eV per atom. Number 8: mass density 10.9 g/cm3, uncorrected energy -6.106 eV per atom. Number 9: mass density 4.2 g/cm3, uncorrected energy -4.353 eV per atom. Number 10: mass density 13.5 g/cm3, uncorrected energy -5.350 eV per atom. Number 11: mass density 3.3 g/cm3, uncorrected energy -3.179 eV per atom. Number 12: mass density 6.8 g/cm3, uncorrected energy -2.633 eV per atom. Number 13: mass density 8.4 g/cm3, uncorrected energy -6.762 eV per atom. Number 14: mass density 5.0 g/cm3, uncorrected energy -4.958 eV per atom. Number 15: mass density 8.8 g/cm3, uncorrected energy -6.205 eV per atom. Number 16: mass density 5.4 g/cm3, uncorrected energy -6.391 eV per atom. Number 17: mass density 5.2 g/cm3, uncorrected energy -2.790 eV per atom. Number 18: mass density 6.9 g/cm3, uncorrected energy -5.143 eV per atom. Number 19: mass density 8.0 g/cm3, uncorrected energy -4.664 eV per atom. Number 20: mass density 12.2 g/cm3, uncorrected energy -4.198 eV per atom.